[1]
First-principles (PBE) data for a geometry-optimized Ta2Fe2SbAs structure, as listed in the Open Quantum Materials Database.

Calculated values
The total energy is -194.50 eV/cell.

Lattice parameters (Å, degrees): 9.581 4.101 10.895 90.00 104.15 90.00
Fractional coordinates of all 24 atoms:
Ta 0.000 0.000 0.000
Ta 0.040 0.500 0.452
Ta 0.261 0.000 0.889
Ta 0.438 0.500 0.229
Ta 0.500 0.500 0.932
Ta 0.586 0.000 0.562
Ta 0.675 0.000 0.313
Ta 0.804 0.500 0.668
Fe 0.092 0.500 0.157
Fe 0.159 0.000 0.591
Fe 0.256 0.500 0.013
Fe 0.427 0.000 0.345
Fe 0.562 0.500 0.700
Fe 0.726 0.000 0.067
Fe 0.773 0.500 0.437
Fe 0.953 0.000 0.762
Sb 0.114 0.500 0.739
Sb 0.351 0.500 0.479
Sb 0.790 0.500 0.919
Sb 0.970 0.000 0.252
As 0.260 0.000 0.141
As 0.452 0.000 0.759
As 0.677 0.500 0.158
As 0.887 0.000 0.532

=====

[2]
First-principles (PBE) data for a geometry-optimized ScFe2As structure, as listed in the Open Quantum Materials Database.

Calculated values
The total energy is -113.30 eV/cell.

Lattice parameters (Å, degrees): 6.139 6.139 6.139 90.00 90.00 90.00
Fractional coordinates of all 16 atoms:
Sc 0.000 0.000 0.000
Sc 0.000 0.500 0.500
Sc 0.500 0.000 0.500
Sc 0.500 0.500 0.000
Fe 0.000 0.000 0.500
Fe 0.000 0.500 0.000
Fe 0.250 0.250 0.250
Fe 0.250 0.750 0.750
Fe 0.500 0.000 0.000
Fe 0.500 0.500 0.500
Fe 0.750 0.250 0.750
Fe 0.750 0.750 0.250
As 0.250 0.250 0.750
As 0.250 0.750 0.250
As 0.750 0.250 0.250
As 0.750 0.750 0.750

=====

[3]
First-principles (PBE) data for a geometry-optimized Sc2Fe2As structure, as listed in the Open Quantum Materials Database.

Calculated values
The total energy is -67.74 eV/cell.

Lattice parameters (Å, degrees): 3.911 3.911 15.428 90.00 90.00 120.00
Fractional coordinates of all 10 atoms:
Sc 0.333 0.667 0.133
Sc 0.333 0.667 0.367
Sc 0.667 0.333 0.633
Sc 0.667 0.333 0.867
Fe 0.333 0.667 0.540
Fe 0.333 0.667 0.960
Fe 0.667 0.333 0.040
Fe 0.667 0.333 0.460
As 0.000 0.000 0.000
As 0.000 0.000 0.500